Crystalline Rb2HfCuI6 at its relaxed geometry, computed with PBE-GGA.

a b c (Å): 8.2836 8.2836 11.4943
angles (deg): 90.00 90.00 90.00
Space group I4/mmm (No. 139)
Unique sites:
Rb 0.0000 0.5000 0.2500 x4
Hf 0.0000 0.0000 0.0000 x2
Cu 0.0000 0.0000 0.5000 x2
I 0.0000 0.0000 0.2531 x4
I 0.2476 0.2476 0.0000 x8

Properties
- theoretical density (g/cm3) = 4.945
- formation energy (no corrections) (meV per atom) = -819.9